DFT (PBE) results for crystalline ZnCdTe2 at its relaxed geometry.

abc: 7.8660 7.8660 7.8660
angles: 33.35 33.35 33.35
Last column: nearest neighbours and their distance in Å.
Element x y z (fractional)
Zn (0.9998, 0.9998, 0.9998)  4 Te 2.67-2.73
Te (0.1198, 0.1198, 0.1198)  1 Zn 2.67, 3 Cd 2.82
Te (0.6298, 0.6298, 0.6298)  3 Zn 2.73, 1 Cd 2.85
Cd (0.5017, 0.5017, 0.5017)  4 Te 2.82-2.85

DFT (PBE) results for crystalline ZnCdTe2 at its relaxed geometry.

abc: 20.8967 4.3060 7.9343
angles: 90.00 134.78 90.00
Last column: nearest neighbours and their distance in Å.
Element x y z (fractional)
Zn (0.3060, 0.9250, 0.1810)  4 Te 2.72-2.87, 1 Cd 2.99
Zn (0.6940, 0.0750, 0.8190)  4 Te 2.72-2.87, 1 Cd 2.99
Zn (0.1940, 0.4250, 0.3190)  4 Te 2.72-2.87, 1 Cd 2.99
Zn (0.8060, 0.5750, 0.6810)  4 Te 2.72-2.87, 1 Cd 2.99
Te (0.8560, 0.0779, 0.5844)  2 Zn 2.72-2.74, 1 Cd 2.80
Te (0.1440, 0.9221, 0.4156)  2 Zn 2.72-2.74, 1 Cd 2.80
Te (0.6440, 0.5779, 0.9156)  2 Zn 2.72-2.74, 1 Cd 2.80
Te (0.3560, 0.4221, 0.0844)  2 Zn 2.72-2.74, 1 Cd 2.80
Te (0.1396, 0.5887, 0.9015)  2 Zn 2.73-2.87, 2 Cd 2.80-2.99
Te (0.8604, 0.4113, 0.0985)  2 Zn 2.73-2.87, 2 Cd 2.80-2.99
Te (0.3604, 0.0887, 0.5985)  2 Zn 2.73-2.87, 2 Cd 2.80-2.99
Te (0.6396, 0.9113, 0.4015)  2 Zn 2.73-2.87, 2 Cd 2.80-2.99
Cd (0.5434, 0.4411, 0.3860)  3 Te 2.80-2.99, 1 Zn 2.99
Cd (0.4566, 0.5589, 0.6140)  3 Te 2.80-2.99, 1 Zn 2.99
Cd (0.9566, 0.9411, 0.1140)  3 Te 2.80-2.99, 1 Zn 2.99
Cd (0.0434, 0.0589, 0.8860)  3 Te 2.80-2.99, 1 Zn 2.99

Size of the total moment (Bohr magnetons per cell)
0.000, 0.000
Energy relative to the elements, uncorrected (eV/f.u.)
-1.8, -1.1
DFT total energy (eV/atom)
-2.5630, -2.3929